Model i:
DFT (PBE) results for a relaxed structure of MnAgRh2.

Calculated values
- DOS(E_F) (states/eV per atom) = 1.188
- total magnetic moment (μB/cell) = 3.24

Lattice parameters (Å, degrees): 2.810 3.836 5.598 90.00 90.00 90.00
Space group Pmm2 (No. 25)
Inequivalent atoms, fractional coordinates:
Mn 0.000 0.000 0.000 x1
Ag 0.500 0.500 0.267 x1
Rh 0.000 0.000 0.540 x1
Rh 0.500 0.500 0.770 x1

Model ii:
DFT (PBE) results for a relaxed structure of MnAgRh2.

Calculated values
- DOS(E_F) (states/eV per atom) = 1.423
- total magnetic moment (μB/cell) = 8.68

Lattice parameters (Å, degrees): 5.581 7.542 2.854 90.00 90.00 90.00
Space group Cmmm (No. 65)
Inequivalent atoms, fractional coordinates:
Mn 0.000 0.000 0.000 x2
Ag 0.000 0.500 0.000 x2
Rh 0.250 0.250 0.500 x4

Most stable: model i. Least stable: model ii.

Model i:
DFT (PBE) results for a relaxed structure of CdSn2As.

Calculated values
- DOS(E_F) (states/eV per atom) = 0.261
- total magnetic moment (μB/cell) = 0.00

Lattice parameters (Å, degrees): 4.252 4.253 6.273 71.90 71.89 86.19
Space group P1 (No. 1)
Inequivalent atoms, fractional coordinates:
Cd 0.000 0.000 0.000 x1
Sn 0.099 0.096 0.462 x1
Sn 0.543 0.543 0.866 x1
As 0.572 0.569 0.413 x1

Model ii:
DFT (PBE) results for a relaxed structure of CdSn2As.

Calculated values
- DOS(E_F) (states/eV per atom) = 0.424
- total magnetic moment (μB/cell) = 0.00

Lattice parameters (Å, degrees): 5.841 11.078 6.275 90.00 90.00 90.00
Space group Fmm2 (No. 42)
Inequivalent atoms, fractional coordinates:
Cd 0.000 0.000 0.000 x4
Sn 0.000 0.217 0.673 x8
As 0.000 0.000 0.451 x4

Most stable: model i. Least stable: model ii.